The following is a GGA-PBE calculation of a relaxed structure of Hf2ZrIn2, from Alexandria via LeMat-Bulk.

Summary:
energy above the most stable polymorph in this dataset = 18.7 meV/atom
E_form = -61 meV/atom
DFT total energy = -68.475 eV per cell

a = 7.9594 Å, b = 7.9594 Å, c = 3.5727 Å
α = 90.00°, β = 90.00°, γ = 90.00°
Closest atoms and distances in Å follow each position.
Space group P4/mbm (No. 127)
One atom of each set of equivalent atoms:
Hf 0.1752 0.3248 0.0000  6 In 2.86-3.02
Zr 0.0000 0.0000 0.5000  4 In 3.14, 8 Hf 3.44
In 0.1269 0.6269 0.5000  6 Hf 2.86-3.02, 1 In 2.86, 2 Zr 3.14